1.
Here is a relaxed structure of YCo2Os from Alexandria via LeMat-Bulk. Energies are from PBE.

a b c (Å): 4.1426 4.1426 14.1152
angles (deg): 90.00 90.00 120.00
Space group R-3m (No. 166, hexagonal axes)
Inequivalent atoms, fractional coordinates:
Y 0.0000 0.0000 0.0000
Co 0.0000 0.0000 0.1941
Os 0.0000 0.0000 0.5000

***

2.
Here is a relaxed structure of YCoOs2 from Alexandria via LeMat-Bulk. Energies are from PBE.

a b c (Å): 2.9367 2.9367 7.5070
angles (deg): 90.00 90.00 90.00
Space group P4mm (No. 99)
Inequivalent atoms, fractional coordinates:
Y 0.0000 0.0000 0.0000
Co 0.5000 0.5000 0.2771
Os 0.0000 0.0000 0.4776
Os 0.5000 0.5000 0.6954

***

3.
Here is a relaxed structure of YCo2Os from Alexandria via LeMat-Bulk. Energies are from PBE.

a b c (Å): 2.8263 2.8263 26.8016
angles (deg): 90.00 90.00 120.00
Space group R-3m (No. 166, hexagonal axes)
Inequivalent atoms, fractional coordinates:
Y 0.0000 0.0000 0.0000
Co 0.0000 0.0000 0.2404
Os 0.0000 0.0000 0.5000

***

We obtain energy relative to the lowest polymorph listed for this composition values of 0.0; 14.5; 660.4 meV per atom for the records listed above, in that order.
We obtain formation energy from the elements values of -0.0378; 0.2052; 0.6226 eV per atom for the records listed above, in that order.